Below is HfCr3I at its PBEsol-relaxed geometry, with properties calculated at the SCAN level.

abc: 4.862 4.862 4.862
angles: 90.00 90.00 90.00
Each line ends with the local moment (μB).
Sites, in units of the cell vectors:
I 0.500 0.500 0.500  0.01
Cr 0.000 0.500 0.000  3.53
Cr 0.000 0.000 0.500  3.53
Cr 0.500 0.000 0.000  3.53
Hf 0.000 0.000 0.000  -0.39

Output
* Fermi-level density of states: 0.5286 states/eV/atom
* E: -29.431 eV per atom
* ΔE_f (raw): 1.48 eV per atom
* symmetry: Pm-3m, No. 221

Below is HfCrSbI2 at its PBEsol-relaxed geometry, with properties calculated at the SCAN level.

abc: 4.991 4.991 5.149
angles: 90.00 90.00 90.00
Each line ends with the local moment (μB).
Sites, in units of the cell vectors:
I 0.000 0.500 0.000  0.01
I 0.500 0.000 0.000  0.01
Sb 0.500 0.500 0.500  0.02
Hf 0.000 0.000 0.500  -0.30
Cr 0.000 0.000 0.000  2.72

Output
* Fermi-level density of states: 0.6780 states/eV/atom
* E: -37.599 eV per atom
* ΔE_f (raw): 0.76 eV per atom
* symmetry: P4/mmm, No. 123

Below is Hf2CrTeI at its PBEsol-relaxed geometry, with properties calculated at the SCAN level.

abc: 4.697 5.215 5.215
angles: 90.00 90.00 90.00
Each line ends with the local moment (μB).
Sites, in units of the cell vectors:
I 0.000 0.000 0.000  -0.03
Cr 0.500 0.000 0.000  3.60
Te 0.500 0.500 0.500  0.07
Hf 0.000 0.000 0.500  -0.31
Hf 0.000 0.500 0.000  -0.31

Output
* Fermi-level density of states: 0.9409 states/eV/atom
* E: -42.370 eV per atom
* ΔE_f (raw): 1.17 eV per atom
* symmetry: P4/mmm, No. 123

Below is HfCrTeI2 at its PBEsol-relaxed geometry, with properties calculated at the SCAN level.

abc: 5.523 5.566 5.566
angles: 90.00 90.00 90.00
Each line ends with the local moment (μB).
Sites, in units of the cell vectors:
I 0.000 0.000 0.500  0.01
I 0.000 0.500 0.000  0.01
Cr 0.500 0.500 0.500  4.54
Te 0.500 0.000 0.000  -0.06
Hf 0.000 0.000 0.000  0.19

Output
* Fermi-level density of states: 0.4950 states/eV/atom
* E: -38.288 eV per atom
* ΔE_f (raw): 0.07 eV per atom
* symmetry: P4/mmm, No. 123

Below is HfCr2InIr at its PBEsol-relaxed geometry, with properties calculated at the SCAN level.

abc: 4.678 4.678 4.776
angles: 90.00 90.00 90.00
Each line ends with the local moment (μB).
Sites, in units of the cell vectors:
Cr 0.000 0.500 0.000  3.28
Cr 0.500 0.000 0.000  3.28
Ir 0.000 0.000 0.500  0.10
Hf 0.000 0.000 0.000  -0.17
In 0.500 0.500 0.500  -0.10

Output
* Fermi-level density of states: 0.6429 states/eV/atom
* E: -39.556 eV per atom
* symmetry: P4/mmm, No. 123
* formation energy from the elements: 1.23 eV per atom

Below is HfCrInN2 at its PBEsol-relaxed geometry, with properties calculated at the SCAN level.

abc: 4.107 4.107 4.871
angles: 90.00 90.00 90.00
Each line ends with the local moment (μB).
Sites, in units of the cell vectors:
Cr 0.000 0.000 0.500  3.75
N 0.000 0.500 0.000  0.49
N 0.500 0.000 0.000  0.49
Hf 0.500 0.500 0.500  -0.29
In 0.000 0.000 0.000  0.09

Output
* Fermi-level density of states: 0.6500 states/eV/atom
* E: -24.887 eV per atom
* ΔE_f (raw): 1.72 eV per atom
* symmetry: P4/mmm, No. 123